Density functional theory data (GGA-PBE) for a geometry-optimized YCr3Br structure.

Cell: 5.3838 5.3838 5.3838 Å, 90.00 90.00 90.00°
Space group Pm-3m (No. 221)
Asymmetric unit:
Y1 0.0000 0.0000 0.0000 (multiplicity 1)
Cr1 0.0000 0.0000 0.5000 (multiplicity 3)
Br1 0.5000 0.5000 0.5000 (multiplicity 1)

Properties
calculated volume: 31.21 A^3/atom
Fermi-level density of states: 8.86 states/eV/f.u.
magnetic moment: 13.250 μB per formula unit
mass density: 3.46 g/cm³
formation energy without anion corrections: 1.907 eV/atom